(1)
# CaFe2Bi, relaxed, DFT GGA-PBE
# Theoretical density (g/cm3): 6.50
# Total DFT energy (no corrections) (eV per atom): -5.01
data_CaFe2Bi
_cell_length_a 6.3089
_cell_length_b 6.3089
_cell_length_c 6.3089
_cell_angle_alpha 102.88
_cell_angle_beta 102.88
_cell_angle_gamma 123.65
_space_group_name_H-M_alt 'P 1'
_space_group_IT_number 1
loop_
_space_group_symop_operation_xyz
'x,y,z'
loop_
_atom_site_label
_atom_site_type_symbol
_atom_site_fract_x
_atom_site_fract_y
_atom_site_fract_z
Ca1 Ca 0.0000 0.0000 0.0000
Ca2 Ca 0.7500 0.2500 0.5000
Fe1 Fe 0.1563 0.6250 0.0313
Fe2 Fe 0.3750 0.4063 0.5313
Fe3 Fe 0.5937 0.1250 0.9687
Fe4 Fe 0.8750 0.8437 0.4687
Bi1 Bi 0.2500 0.7500 0.5000
Bi2 Bi 0.5000 0.5000 0.0000



(2)
# K3Sr2Br3O2, relaxed, DFT GGA-PBE
# Theoretical density (g/cm3): 3.09
# Formation energy without anion corrections (eV/f.u.): -20.3
# Total DFT energy (no corrections) (eV per atom): -4.19
data_K3Sr2Br3O2
_cell_length_a 13.6399
_cell_length_b 13.6399
_cell_length_c 13.6399
_cell_angle_alpha 159.77
_cell_angle_beta 159.77
_cell_angle_gamma 28.76
_space_group_name_H-M_alt 'P 1'
_space_group_IT_number 1
loop_
_space_group_symop_operation_xyz
'x,y,z'
loop_
_atom_site_label
_atom_site_type_symbol
_atom_site_fract_x
_atom_site_fract_y
_atom_site_fract_z
K1 K 0.0000 0.0000 0.0000
K2 K 0.3750 0.3750 0.0000
K3 K 0.6250 0.6250 0.0000
Sr1 Sr 0.2500 0.7500 0.5000
Sr2 Sr 0.7500 0.2500 0.5000
Br1 Br 0.1312 0.1312 0.0000
Br2 Br 0.5000 0.5000 0.0000
Br3 Br 0.8688 0.8688 0.0000
O1 O 0.2748 0.2748 0.0000
O2 O 0.7252 0.7252 0.0000



(3)
# Tl2RuCl5, relaxed, DFT GGA-PBE
# Theoretical density (g/cm3): 5.14
# Formation energy without anion corrections (eV/f.u.): -5.9
# Distance to the lowest polymorph of the same formula (eV per atom): 0.000
# Total DFT energy (no corrections) (eV per atom): -3.64
data_Tl2RuCl5
_cell_length_a 8.9231
_cell_length_b 6.8794
_cell_length_c 14.4657
_cell_angle_alpha 90.00
_cell_angle_beta 90.00
_cell_angle_gamma 90.00
_space_group_name_H-M_alt 'P 1'
_space_group_IT_number 1
loop_
_space_group_symop_operation_xyz
'x,y,z'
loop_
_atom_site_label
_atom_site_type_symbol
_atom_site_fract_x
_atom_site_fract_y
_atom_site_fract_z
Tl1 Tl 0.0476 0.2500 0.1945
Tl2 Tl 0.1637 0.7500 0.4127
Tl3 Tl 0.3363 0.2500 0.9127
Tl4 Tl 0.4524 0.7500 0.6945
Tl5 Tl 0.5476 0.2500 0.3055
Tl6 Tl 0.6637 0.7500 0.0873
Tl7 Tl 0.8363 0.2500 0.5873
Tl8 Tl 0.9524 0.7500 0.8055
Ru1 Ru 0.1730 0.7500 0.0537
Ru2 Ru 0.3270 0.2500 0.5537
Ru3 Ru 0.6730 0.7500 0.4463
Ru4 Ru 0.8270 0.2500 0.9463
Cl1 Cl 0.0000 0.0000 0.0000
Cl2 Cl 0.0000 0.5000 0.0000
Cl3 Cl 0.0482 0.7500 0.1981
Cl4 Cl 0.1630 0.0102 0.6040
Cl5 Cl 0.1630 0.4898 0.6040
Cl6 Cl 0.2138 0.2500 0.4024
Cl7 Cl 0.2862 0.7500 0.9024
Cl8 Cl 0.3370 0.5102 0.1040
Cl9 Cl 0.3370 0.9898 0.1040
Cl10 Cl 0.4518 0.2500 0.6981
Cl11 Cl 0.5000 0.0000 0.5000
Cl12 Cl 0.5000 0.5000 0.5000
Cl13 Cl 0.5482 0.7500 0.3019
Cl14 Cl 0.6630 0.0102 0.8960
Cl15 Cl 0.6630 0.4898 0.8960
Cl16 Cl 0.7138 0.2500 0.0976
Cl17 Cl 0.7862 0.7500 0.5976
Cl18 Cl 0.8370 0.5102 0.3960
Cl19 Cl 0.8370 0.9898 0.3960
Cl20 Cl 0.9518 0.2500 0.8019



(4)
# Rb2CdI6N, relaxed, DFT GGA-PBE
# Theoretical density (g/cm3): 4.82
# Formation energy without anion corrections (eV/f.u.): -2.6
# Total DFT energy (no corrections) (eV per atom): -2.31
data_Rb2CdI6N
_cell_length_a 8.0286
_cell_length_b 8.0286
_cell_length_c 8.0286
_cell_angle_alpha 120.15
_cell_angle_beta 120.15
_cell_angle_gamma 89.74
_space_group_name_H-M_alt 'P 1'
_space_group_IT_number 1
loop_
_space_group_symop_operation_xyz
'x,y,z'
loop_
_atom_site_label
_atom_site_type_symbol
_atom_site_fract_x
_atom_site_fract_y
_atom_site_fract_z
Rb1 Rb 0.2500 0.7500 0.5000
Rb2 Rb 0.7500 0.2500 0.5000
Cd1 Cd 0.0000 0.0000 0.0000
I1 I 0.2651 0.2651 0.5303
I2 I 0.2651 0.7349 0.0000
I3 I 0.2675 0.2675 0.0000
I4 I 0.7325 0.7325 0.0000
I5 I 0.7349 0.2651 0.0000
I6 I 0.7349 0.7349 0.4697
N1 N 0.5000 0.5000 0.0000



(5)
# TlHSBr2, relaxed, DFT GGA-PBE
# Theoretical density (g/cm3): 4.01
# Total DFT energy (no corrections) (eV per atom): -2.27
data_TlHSBr2
_cell_length_a 5.2226
_cell_length_b 5.2226
_cell_length_c 6.0239
_cell_angle_alpha 90.00
_cell_angle_beta 90.00
_cell_angle_gamma 90.00
_space_group_name_H-M_alt 'P 1'
_space_group_IT_number 1
loop_
_space_group_symop_operation_xyz
'x,y,z'
loop_
_atom_site_label
_atom_site_type_symbol
_atom_site_fract_x
_atom_site_fract_y
_atom_site_fract_z
Tl1 Tl 0.0000 0.0000 0.0000
H1 H 0.5000 0.5000 0.0000
S1 S 0.0000 0.0000 0.5000
Br1 Br 0.0000 0.5000 0.5000
Br2 Br 0.5000 0.0000 0.5000



(6)
# KNb2Bi2, relaxed, DFT GGA-PBE
# Theoretical density (g/cm3): 7.34
# Total DFT energy (no corrections) (eV per atom): -5.77
data_KNb2Bi2
_cell_length_a 9.8694
_cell_length_b 9.8694
_cell_length_c 9.8694
_cell_angle_alpha 157.10
_cell_angle_beta 157.10
_cell_angle_gamma 32.61
_space_group_name_H-M_alt 'P 1'
_space_group_IT_number 1
loop_
_space_group_symop_operation_xyz
'x,y,z'
loop_
_atom_site_label
_atom_site_type_symbol
_atom_site_fract_x
_atom_site_fract_y
_atom_site_fract_z
K1 K 0.0000 0.0000 0.0000
Nb1 Nb 0.2500 0.7500 0.5000
Nb2 Nb 0.7500 0.2500 0.5000
Bi1 Bi 0.3709 0.3709 0.0000
Bi2 Bi 0.6291 0.6291 0.0000



(7)
# Nd3Y6Er2Zr, relaxed, DFT GGA-PBE
# Theoretical density (g/cm3): 6.09
# Total DFT energy (no corrections) (eV per atom): -5.85
data_Nd3Y6Er2Zr
_cell_length_a 6.1565
_cell_length_b 6.1565
_cell_length_c 11.7331
_cell_angle_alpha 95.00
_cell_angle_beta 95.00
_cell_angle_gamma 119.94
_space_group_name_H-M_alt 'P 1'
_space_group_IT_number 1
loop_
_space_group_symop_operation_xyz
'x,y,z'
loop_
_atom_site_label
_atom_site_type_symbol
_atom_site_fract_x
_atom_site_fract_y
_atom_site_fract_z
Nd1 Nd 0.0000 0.0000 0.0000
Nd2 Nd 0.3338 0.6662 0.0000
Nd3 Nd 0.6662 0.3338 0.0000
Y1 Y 0.0932 0.4200 0.2590
Y2 Y 0.2534 0.2534 0.7407
Y3 Y 0.4200 0.0932 0.2590
Y4 Y 0.5800 0.9068 0.7410
Y5 Y 0.7466 0.7466 0.2593
Y6 Y 0.9068 0.5800 0.7410
Er1 Er 0.1668 0.8332 0.5000
Er2 Er 0.8332 0.1668 0.5000
Zr1 Zr 0.5000 0.5000 0.5000



(8)
# BaCu2Te, relaxed, DFT GGA-PBE
# Theoretical density (g/cm3): 6.38
# Formation energy without anion corrections (eV/f.u.): 0.0
# Total DFT energy (no corrections) (eV per atom): -3.31
data_BaCu2Te
_cell_length_a 3.9043
_cell_length_b 3.9043
_cell_length_c 6.6894
_cell_angle_alpha 90.00
_cell_angle_beta 90.00
_cell_angle_gamma 90.09
_space_group_name_H-M_alt 'P 1'
_space_group_IT_number 1
loop_
_space_group_symop_operation_xyz
'x,y,z'
loop_
_atom_site_label
_atom_site_type_symbol
_atom_site_fract_x
_atom_site_fract_y
_atom_site_fract_z
Ba1 Ba 0.0000 0.0000 0.0000
Cu1 Cu 0.5000 0.5000 0.3188
Cu2 Cu 0.5000 0.5000 0.6812
Te1 Te 0.0000 0.0000 0.5000



(9)
# AcNdErLu, relaxed, DFT GGA-PBE
# Theoretical density (g/cm3): 8.46
# Total DFT energy (no corrections) (eV per atom): -4.39
data_AcNdErLu
_cell_length_a 5.8284
_cell_length_b 5.8284
_cell_length_c 5.8284
_cell_angle_alpha 60.00
_cell_angle_beta 60.00
_cell_angle_gamma 60.00
_space_group_name_H-M_alt 'P 1'
_space_group_IT_number 1
loop_
_space_group_symop_operation_xyz
'x,y,z'
loop_
_atom_site_label
_atom_site_type_symbol
_atom_site_fract_x
_atom_site_fract_y
_atom_site_fract_z
Ac1 Ac 0.0000 0.0000 0.0000
Nd1 Nd 0.5000 0.5000 0.5000
Er1 Er 0.2500 0.2500 0.2500
Lu1 Lu 0.7500 0.7500 0.7500



(10)
# Dy3ZnCu, relaxed, DFT GGA-PBE
# Theoretical density (g/cm3): 8.54
# Distance to the lowest polymorph of the same formula (eV per atom): 0.048
# Total DFT energy (no corrections) (eV per atom): -4.00
data_Dy3ZnCu
_cell_length_a 6.4708
_cell_length_b 8.3073
_cell_length_c 8.9214
_cell_angle_alpha 90.00
_cell_angle_beta 91.24
_cell_angle_gamma 90.00
_space_group_name_H-M_alt 'P 1'
_space_group_IT_number 1
loop_
_space_group_symop_operation_xyz
'x,y,z'
loop_
_atom_site_label
_atom_site_type_symbol
_atom_site_fract_x
_atom_site_fract_y
_atom_site_fract_z
Dy1 Dy 0.2181 0.0549 0.3315
Dy2 Dy 0.2181 0.4451 0.8315
Dy3 Dy 0.2394 0.0466 0.9257
Dy4 Dy 0.2394 0.4534 0.4257
Dy5 Dy 0.2790 0.6968 0.1304
Dy6 Dy 0.2790 0.8032 0.6304
Dy7 Dy 0.7210 0.1968 0.3696
Dy8 Dy 0.7210 0.3032 0.8696
Dy9 Dy 0.7606 0.5466 0.5743
Dy10 Dy 0.7606 0.9534 0.0743
Dy11 Dy 0.7819 0.5549 0.1685
Dy12 Dy 0.7819 0.9451 0.6685
Zn1 Zn 0.4186 0.1774 0.6304
Zn2 Zn 0.4186 0.3226 0.1304
Zn3 Zn 0.5814 0.6774 0.8696
Zn4 Zn 0.5814 0.8226 0.3696
Cu1 Cu 0.0275 0.2198 0.6216
Cu2 Cu 0.0275 0.2802 0.1216
Cu3 Cu 0.9725 0.7198 0.8784
Cu4 Cu 0.9725 0.7802 0.3784



(11)
# LiMg2Sn2, relaxed, DFT GGA-PBE
# Theoretical density (g/cm3): 3.97
# Distance to the lowest polymorph of the same formula (eV per atom): 0.000
# Total DFT energy (no corrections) (eV per atom): -2.76
data_LiMg2Sn2
_cell_length_a 8.5657
_cell_length_b 8.5657
_cell_length_c 3.3384
_cell_angle_alpha 90.00
_cell_angle_beta 90.00
_cell_angle_gamma 90.00
_space_group_name_H-M_alt 'P 1'
_space_group_IT_number 1
loop_
_space_group_symop_operation_xyz
'x,y,z'
loop_
_atom_site_label
_atom_site_type_symbol
_atom_site_fract_x
_atom_site_fract_y
_atom_site_fract_z
Li1 Li 0.0000 0.0000 0.0000
Li2 Li 0.5000 0.5000 0.0000
Mg1 Mg 0.1317 0.3683 0.5000
Mg2 Mg 0.3683 0.8683 0.5000
Mg3 Mg 0.6317 0.1317 0.5000
Mg4 Mg 0.8683 0.6317 0.5000
Sn1 Sn 0.1663 0.6663 0.0000
Sn2 Sn 0.3337 0.1663 0.0000
Sn3 Sn 0.6663 0.8337 0.0000
Sn4 Sn 0.8337 0.3337 0.0000



(12)
# Tb12PmNd6, relaxed, DFT GGA-PBE
# Theoretical density (g/cm3): 7.41
# Distance to the lowest polymorph of the same formula (eV per atom): 0.093
# Total DFT energy (no corrections) (eV per atom): -4.47
data_Tb12PmNd6
_cell_length_a 8.7954
_cell_length_b 8.7954
_cell_length_c 8.7954
_cell_angle_alpha 98.75
_cell_angle_beta 98.75
_cell_angle_gamma 98.75
_space_group_name_H-M_alt 'P 1'
_space_group_IT_number 1
loop_
_space_group_symop_operation_xyz
'x,y,z'
loop_
_atom_site_label
_atom_site_type_symbol
_atom_site_fract_x
_atom_site_fract_y
_atom_site_fract_z
Tb1 Tb 0.0000 0.2574 0.7426
Tb2 Tb 0.0000 0.7426 0.2574
Tb3 Tb 0.1436 0.1436 0.4177
Tb4 Tb 0.1436 0.4177 0.1436
Tb5 Tb 0.2574 0.0000 0.7426
Tb6 Tb 0.2574 0.7426 0.0000
Tb7 Tb 0.4177 0.1436 0.1436
Tb8 Tb 0.5823 0.8564 0.8564
Tb9 Tb 0.7426 0.0000 0.2574
Tb10 Tb 0.7426 0.2574 0.0000
Tb11 Tb 0.8564 0.5823 0.8564
Tb12 Tb 0.8564 0.8564 0.5823
Pm1 Pm 0.5000 0.5000 0.5000
Nd1 Nd 0.1560 0.5972 0.5972
Nd2 Nd 0.4028 0.4028 0.8440
Nd3 Nd 0.4028 0.8440 0.4028
Nd4 Nd 0.5972 0.1560 0.5972
Nd5 Nd 0.5972 0.5972 0.1560
Nd6 Nd 0.8440 0.4028 0.4028